No. 1
# NaSc2Ge

An optimized crystal structure of NaSc2Ge (PBE, the Alexandria database).

a b c (Å): 7.966 7.966 6.442
angles (deg): 51.81 51.81 90.00
Sites, in units of the cell vectors:
Ge  0.750  0.250  0.500
Ge  0.000  0.000  0.000
Sc  0.672  0.125  0.250
Sc  0.375  0.328  0.750
Sc  0.078  0.625  0.250
Sc  0.875  0.922  0.750
Na  0.250  0.750  0.500
Na  0.500  0.500  0.000

## Properties
The spin magnetization is 0.00 μB per formula unit. The calculation puts the formation energy at 94 meV per atom.

---

No. 2
# BeAg2Au

An optimized crystal structure of BeAg2Au (PBE, the Alexandria database).

a b c (Å): 4.081 2.995 5.463
angles (deg): 71.97 90.00 90.00
Sites, in units of the cell vectors:
Ag  0.000  0.895  0.976
Ag  0.000  0.605  0.524
Be  0.500  0.750  0.750
Au  0.500  0.250  0.250

## Properties
The spin magnetization is 0.00 μB per formula unit. The calculation puts the formation energy at 130 meV per atom.

---

No. 3
# CeMgSc2Tl4

An optimized crystal structure of CeMgSc2Tl4 (PBE, the Alexandria database).

a b c (Å): 5.136 5.136 9.408
angles (deg): 74.16 74.16 60.00
Sites, in units of the cell vectors:
Tl  0.127  0.127  0.620
Tl  0.619  0.619  0.142
Tl  0.381  0.381  0.858
Tl  0.873  0.873  0.380
Sc  0.244  0.244  0.268
Sc  0.756  0.756  0.732
Mg  0.500  0.500  0.500
Ce  0.000  0.000  0.000

## Properties
The spin magnetization is 0.92 μB per formula unit. The calculation puts the formation energy at -188 meV per atom.

---

No. 4
# Mg4PdPb3

An optimized crystal structure of Mg4PdPb3 (PBE, the Alexandria database).

a b c (Å): 3.408 3.408 16.167
angles (deg): 90.00 90.00 90.00
Sites, in units of the cell vectors:
Mg  0.000  0.000  0.090
Mg  0.000  0.000  0.910
Mg  0.000  0.000  0.637
Mg  0.000  0.000  0.363
Pb  0.500  0.500  0.500
Pb  0.500  0.500  0.227
Pb  0.500  0.500  0.773
Pd  0.500  0.500  0.000

## Properties
The spin magnetization is 0.00 μB per formula unit. The calculation puts the formation energy at -221 meV per atom.

---

No. 5
# CaSnBiPb

An optimized crystal structure of CaSnBiPb (PBE, the Alexandria database).

a b c (Å): 4.740 4.881 5.140
angles (deg): 90.00 90.00 90.00
Sites, in units of the cell vectors:
Sn  0.500  0.500  0.000
Ca  0.000  0.500  0.500
Pb  0.000  0.000  0.000
Bi  0.500  0.000  0.500

## Properties
The spin magnetization is 0.00 μB per formula unit. The calculation puts the formation energy at -367 meV per atom.

---

No. 6
# TaZnPt3

An optimized crystal structure of TaZnPt3 (PBE, the Alexandria database).

a b c (Å): 4.894 4.894 4.894
angles (deg): 90.00 90.00 90.00
Sites, in units of the cell vectors:
Pt  0.000  0.500  0.000
Pt  0.000  0.000  0.500
Pt  0.500  0.000  0.000
Ta  0.000  0.000  0.000
Zn  0.500  0.500  0.500

## Properties
The spin magnetization is 0.00 μB per formula unit. The excess energy over the best structure of this formula in the dataset is 116 meV per atom. The calculation puts the formation energy at 903 meV per atom.

---

No. 7
# Ta3BrCl7

An optimized crystal structure of Ta3BrCl7 (PBE, the Alexandria database).

a b c (Å): 6.812 6.812 7.975
angles (deg): 77.80 64.72 60.00
Sites, in units of the cell vectors:
Cl  0.310  0.087  0.794
Cl  0.854  0.911  0.380
Cl  0.329  0.919  0.422
Cl  0.343  0.423  0.380
Cl  0.310  0.586  0.794
Cl  0.854  0.423  0.380
Cl  0.809  0.087  0.794
Ta  0.626  0.724  0.610
Ta  0.039  0.311  0.610
Ta  0.039  0.724  0.610
Br  0.760  0.587  0.892

## Properties
The spin magnetization is 0.95 μB per formula unit. As for the uncorrected formation energy: -12.57 eV/f.u.

---

No. 8
# TlIr2PdO8

An optimized crystal structure of TlIr2PdO8 (PBE, the Alexandria database).

a b c (Å): 5.207 5.207 8.841
angles (deg): 90.00 90.00 120.00
Sites, in units of the cell vectors:
Tl  0.000  0.000  0.000
Ir  0.333  0.667  0.720
Ir  0.667  0.333  0.280
O  0.318  0.983  0.639
O  0.983  0.665  0.361
O  0.667  0.333  0.078
O  0.333  0.667  0.922
O  0.682  0.017  0.361
O  0.665  0.682  0.639
O  0.335  0.318  0.361
O  0.017  0.335  0.639
Pd  0.000  0.000  0.500

## Properties
The spin magnetization is 0.63 μB per formula unit. As for the uncorrected formation energy: -4.56 eV/f.u.